PBE LiCa2Ge4Au3, relaxed; energy relative to the elements = -0.47 eV per atom; SG = P-4m2 (115)
1.0
4.334 0.000 0.000
0.000 4.334 0.000
0.000 0.000 11.082
Li Ca Ge Au
1 2 4 3
Direct
0.000 0.000 0.000
0.000 0.500 0.762
0.500 0.000 0.238
0.000 0.000 0.500
0.000 0.500 0.132
0.500 0.000 0.868
0.500 0.500 0.500
0.000 0.500 0.359
0.500 0.000 0.641
0.500 0.500 0.000